## HoLuNi4 (PBE)

Data for crystalline HoLuNi4 at its relaxed geometry.

Results
ρ, Mg/m³: 10.62
Density of states at the Fermi level, states/eV/cell: 3.7
E_tot, eV per formula unit: -35.163
Total magnetization, μB/f.u.: 0.0
Symmetry: No. 216

Lattice parameters (Å, degrees): 5.0275 5.0275 5.0275 60.00 60.00 60.00
Last column: nearest neighbours and their distance in Å.
Sites, in units of the cell vectors:
Ni  0.1239  0.6254  0.6254  6 Ni 2.51-2.52
Ni  0.6254  0.6254  0.6254  6 Ni 2.51-2.52
Ni  0.6254  0.1239  0.6254  6 Ni 2.51-2.52
Ni  0.6254  0.6254  0.1239  6 Ni 2.51-2.52
Ho  0.2500  0.2500  0.2500  12 Ni 2.95, 4 Lu 3.08
Lu  0.0000  0.0000  0.0000  12 Ni 2.95, 4 Ho 3.08